A plane-wave DFT calculation with PBE-GGA was carried out for LaThC after structural relaxation.

Values from the calculation:
Its energy above the most stable polymorph in this dataset is 204 meV per atom. For the spin magnetization, the calculation gives 0.00 μB/f.u. The density of states at the Fermi level is 0.905 states/eV/atom. As for the energy of formation from the pure elements: 40 meV/atom.

a b c (Å): 11.2164 3.5491 7.9648
angles (deg): 90.00 91.71 90.00
Last column: nearest neighbours and their distance in Å.
Space group C2/m (No. 12)
Asymmetric unit:
La 0.1311 0.0000 0.1568 x4  2 C 2.58
Th 0.1365 0.0000 0.6107 x4  3 C 2.49
C 0.1414 0.5000 0.3919 x4  3 Th 2.49, 2 La 2.58



A plane-wave DFT calculation with PBE-GGA was carried out for La2ThC after structural relaxation.

Values from the calculation:
For the spin magnetization, the calculation gives 0.00 μB/f.u. The density of states at the Fermi level is 0.996 states/eV/atom. As for the energy of formation from the pure elements: 100 meV/atom.

a b c (Å): 3.6159 3.6159 30.5801
angles (deg): 90.00 90.00 120.00
Last column: nearest neighbours and their distance in Å.
Space group R-3m (No. 166, hexagonal axes)
Asymmetric unit:
La 0.0000 0.0000 0.1182 x6  3 C 2.56
Th 0.0000 0.0000 0.0000 x3  2 La 3.61, 6 Th 3.62
C 0.0000 0.0000 0.5000 x3  6 La 2.56



A plane-wave DFT calculation with PBE-GGA was carried out for LaThC after structural relaxation.

Values from the calculation:
Its energy above the most stable polymorph in this dataset is 18 meV per atom. For the spin magnetization, the calculation gives 0.00 μB/f.u. The density of states at the Fermi level is 0.846 states/eV/atom. As for the energy of formation from the pure elements: -146 meV/atom.

a b c (Å): 6.4128 3.6851 7.0954
angles (deg): 90.00 108.59 90.00
Last column: nearest neighbours and their distance in Å.
Space group P2_1/m (No. 11)
Asymmetric unit:
La 0.1593 0.2500 0.2159 x2  3 C 2.66-2.67
Th 0.3420 0.2500 0.7866 x2  3 C 2.48-2.50
C 0.2676 0.7500 0.9912 x2  3 Th 2.48-2.50, 3 La 2.66-2.67



A plane-wave DFT calculation with PBE-GGA was carried out for LaTh4C4 after structural relaxation.

Values from the calculation:
For the spin magnetization, the calculation gives 0.00 μB/f.u. The density of states at the Fermi level is 0.656 states/eV/atom. As for the energy of formation from the pure elements: -228 meV/atom.

a b c (Å): 8.4982 8.4982 5.3132
angles (deg): 90.00 90.00 90.00
Last column: nearest neighbours and their distance in Å.
Space group I4/m (No. 87)
Asymmetric unit:
La 0.0000 0.0000 0.0000 x2  4 C 2.77
Th 0.1048 0.3103 0.5000 x8  5 C 2.49-2.79
C 0.0916 0.3131 0.0000 x8  5 Th 2.49-2.79, 1 La 2.77



A plane-wave DFT calculation with PBE-GGA was carried out for LaTh3C3 after structural relaxation.

Values from the calculation:
For the spin magnetization, the calculation gives 0.00 μB/f.u. The density of states at the Fermi level is 0.541 states/eV/atom. As for the energy of formation from the pure elements: 43 meV/atom.

a b c (Å): 6.5288 6.5288 28.5978
angles (deg): 90.00 90.00 120.00
Last column: nearest neighbours and their distance in Å.
Space group R-3 (No. 148, hexagonal axes)
Asymmetric unit:
La 0.0000 0.0000 0.1670 x6  6 C 2.81-2.83
Th 0.0007 0.6843 0.6027 x18  3 C 2.34-2.46
C 0.0008 0.6378 0.4339 x18  3 Th 2.34-2.46



A plane-wave DFT calculation with PBE-GGA was carried out for LaTh3C8 after structural relaxation.

Values from the calculation:
For the spin magnetization, the calculation gives 0.00 μB/f.u. The density of states at the Fermi level is 0.456 states/eV/atom. As for the energy of formation from the pure elements: 69 meV/atom.

a b c (Å): 9.9412 9.9513 8.2407
angles (deg): 90.00 90.00 90.00
Last column: nearest neighbours and their distance in Å.
Space group Fmm2 (No. 42)
Asymmetric unit:
La 0.0000 0.0000 0.0000 x4  8 C 2.72-2.85
Th 0.0000 0.0000 0.4992 x4  8 C 2.58-2.67
Th 0.2500 0.2500 0.2492 x8  8 C 2.62-2.64
C 0.0000 0.1687 0.2601 x8  1 C 1.33
C 0.0000 0.2396 0.6431 x8  1 C 1.33
C 0.1686 0.0000 0.7375 x8  1 C 1.33
C 0.2406 0.0000 0.3555 x8  1 C 1.33



A plane-wave DFT calculation with PBE-GGA was carried out for LaTh2C2 after structural relaxation.

Values from the calculation:
Its energy above the most stable polymorph in this dataset is 0 meV per atom. For the spin magnetization, the calculation gives 0.00 μB/f.u. The density of states at the Fermi level is 0.955 states/eV/atom. As for the energy of formation from the pure elements: -181 meV/atom.

a b c (Å): 3.7584 5.3269 11.5015
angles (deg): 90.00 90.00 90.00
Last column: nearest neighbours and their distance in Å.
Space group Immm (No. 71)
Asymmetric unit:
La 0.0000 0.0000 0.0000 x2  4 C 2.82
Th 0.0000 0.0000 0.3234 x4  4 C 2.48-2.66
C 0.0000 0.5000 0.3175 x4  4 Th 2.48-2.66



A plane-wave DFT calculation with PBE-GGA was carried out for LaThC2 after structural relaxation.

Values from the calculation:
Its energy above the most stable polymorph in this dataset is 0 meV per atom. For the spin magnetization, the calculation gives 0.00 μB/f.u. The density of states at the Fermi level is 0.873 states/eV/atom. As for the energy of formation from the pure elements: -8 meV/atom.

a b c (Å): 4.0521 16.0414 6.2763
angles (deg): 90.00 90.00 90.00
Last column: nearest neighbours and their distance in Å.
Space group Cmcm (No. 63)
Asymmetric unit:
La 0.0000 0.1728 0.2500 x4  4 C 2.59
Th 0.0000 0.4323 0.2500 x4  4 C 2.46-2.51
C 0.0000 0.4176 0.6396 x8  1 C 1.39



A plane-wave DFT calculation with PBE-GGA was carried out for LaThC2 after structural relaxation.

Values from the calculation:
Its energy above the most stable polymorph in this dataset is 8 meV per atom. For the spin magnetization, the calculation gives 0.00 μB/f.u. The density of states at the Fermi level is 0.935 states/eV/atom. As for the energy of formation from the pure elements: 1 meV/atom.

a b c (Å): 3.7914 3.7914 18.6388
angles (deg): 90.00 90.00 120.00
Last column: nearest neighbours and their distance in Å.
Space group R-3m (No. 166, hexagonal axes)
Asymmetric unit:
La 0.0000 0.0000 0.0000 x3  6 C 2.76
Th 0.0000 0.0000 0.5000 x3  6 C 2.61
C 0.0000 0.0000 0.2432 x6  3 Th 2.61, 3 La 2.76



A plane-wave DFT calculation with PBE-GGA was carried out for LaTiC3 after structural relaxation.

Values from the calculation:
Its energy above the most stable polymorph in this dataset is 0 meV per atom. For the spin magnetization, the calculation gives 0.00 μB/f.u. The density of states at the Fermi level is 0.725 states/eV/atom. As for the energy of formation from the pure elements: 604 meV/atom.

a b c (Å): 4.1083 4.1083 4.1083
angles (deg): 90.00 90.00 90.00
Last column: nearest neighbours and their distance in Å.
Space group Pm-3m (No. 221)
Asymmetric unit:
La 0.0000 0.0000 0.0000 x1  12 C 2.90
Ti 0.5000 0.5000 0.5000 x1  6 C 2.05
C 0.0000 0.5000 0.5000 x3  2 Ti 2.05



A plane-wave DFT calculation with PBE-GGA was carried out for LaTiC2 after structural relaxation.

Values from the calculation:
Its energy above the most stable polymorph in this dataset is 41 meV per atom. For the spin magnetization, the calculation gives 0.00 μB/f.u. The density of states at the Fermi level is 0.438 states/eV/atom. As for the energy of formation from the pure elements: 80 meV/atom.

a b c (Å): 5.9059 5.9059 7.4909
angles (deg): 90.00 90.00 90.00
Last column: nearest neighbours and their distance in Å.
Space group I-42d (No. 122)
Asymmetric unit:
La 0.0000 0.0000 0.0000 x4  4 C 2.58
Ti 0.0000 0.0000 0.5000 x4  4 C 2.04
C 0.1792 0.2500 0.6250 x8  2 Ti 2.04



A plane-wave DFT calculation with PBE-GGA was carried out for La3TiC after structural relaxation.

Values from the calculation:
Its energy above the most stable polymorph in this dataset is 0 meV per atom. For the spin magnetization, the calculation gives 0.00 μB/f.u. The density of states at the Fermi level is 2.345 states/eV/atom. As for the energy of formation from the pure elements: 303 meV/atom.

a b c (Å): 5.1891 5.1891 5.1891
angles (deg): 90.00 90.00 90.00
Last column: nearest neighbours and their distance in Å.
Space group Pm-3m (No. 221)
Asymmetric unit:
La 0.0000 0.0000 0.5000 x3  2 C 2.59
Ti 0.5000 0.5000 0.5000 x1  12 La 3.67
C 0.0000 0.0000 0.0000 x1  6 La 2.59